K4Er3MoO8 | PBE with a Hubbard U | relaxed

The calculation puts the volume at 15.63 Å³ per atom. Its crystal system is trigonal. The density of states at the Fermi level comes out at 0.00 states/eV per cell. For the energy, the calculation gives -6.55 eV per atom.

The space group is R-3m (No. 166, hexagonal axes) and the conventional cell measures 6.8161, 6.8161 and 18.6505 Å, with angles of 90.00, 90.00 and 120.00 degrees. The asymmetric unit holds K at (0.0000, 0.0000, 0.0000), K at (0.0000, 0.5000, 0.0000), Er at (0.0000, 0.5000, 0.5000), Mo at (0.0000, 0.0000, 0.5000), O at (0.0000, 0.0000, 0.2282) and O at (0.0045, 0.5022, 0.2281).